Material: Ca2Ni15Ge2
Method: DFT, PBE-GGA
State: optimized geometry

abc: 6.3344 6.3344 6.3344
angles: 82.90 82.90 82.90
Positions (direct):
Ca: 0.1484 0.1484 0.1484
Ca: 0.8516 0.8516 0.8516
Ni: 0.0000 0.5000 0.5000
Ni: 0.1576 0.1576 0.6495
Ni: 0.1576 0.6495 0.1576
Ni: 0.2027 0.5000 0.7973
Ni: 0.2027 0.7973 0.5000
Ni: 0.3505 0.8424 0.8424
Ni: 0.5000 0.0000 0.5000
Ni: 0.5000 0.2027 0.7973
Ni: 0.5000 0.5000 0.0000
Ni: 0.5000 0.7973 0.2027
Ni: 0.6495 0.1576 0.1576
Ni: 0.7973 0.2027 0.5000
Ni: 0.7973 0.5000 0.2027
Ni: 0.8424 0.3505 0.8424
Ni: 0.8424 0.8424 0.3505
Ge: 0.3938 0.3938 0.3938
Ge: 0.6062 0.6062 0.6062

## Properties
For the energy, the calculation gives -101.9 eV per formula unit. As for the density of states at the Fermi level: 1.31 states/eV per atom. The calculation puts the total magnetic moment at 5.4 μB per cell. Its space group is R-3m, No. 166. For the calculated volume, the calculation gives 13.093 A^3/atom.